# 1
An optimized crystal structure of MgZr2O5. Source: the Open Quantum Materials Database, functional GGA-PBE.

Geometry as POSCAR:
```
MgZr2O5
1.0
1.992 -5.184 0.000
1.992 5.184 0.000
0.000 0.000 10.399
Mg Zr O
2 4 10
Cartesian
1.992 3.250 7.799
1.992 -3.250 2.600
1.992 3.763 0.724
1.992 3.763 4.475
1.992 -3.763 5.923
1.992 -3.763 9.675
1.992 4.674 6.404
1.992 4.674 9.195
1.992 2.747 2.600
1.992 2.021 5.936
1.992 2.021 9.662
1.992 -2.021 0.737
1.992 -2.021 4.463
1.992 -2.747 7.799
1.992 -4.674 1.204
1.992 -4.674 3.995
```

## Properties
symmetry	No. 63
calculated total energy	-8.588	eV/atom

=====

# 2
An optimized crystal structure of Mg2Zr2O5. Source: the Open Quantum Materials Database, functional GGA-PBE.

Geometry as POSCAR:
```
Mg2Zr2O5
1.0
3.682 0.000 0.000
0.000 3.682 0.000
0.000 0.000 7.707
Mg Zr O
2 2 5
Cartesian
0.000 0.000 1.880
0.000 0.000 5.827
1.841 1.841 0.000
1.841 1.841 3.853
0.000 0.000 3.853
0.000 1.841 1.279
0.000 1.841 6.428
1.841 0.000 1.279
1.841 0.000 6.428
```

## Properties
symmetry	No. 123
calculated total energy	-7.292	eV/atom